(a)
{
  "formula": "TlGaS2N",
  "functional": "GGA-PBE",
  "state": "optimized geometry",
  "rho_g_cm3": 4.726,
  "spacegroup": "P4/mmm, No. 123",
  "cell": [[-1.8999, -2.7349, 4.0456], [0.2930, -4.3970, -2.8349], [4.1934, -0.6896, 1.5031]],
  "species": ["Tl", "S", "N", "S", "Ga"],
  "fractional_positions": [[0.0000, 0.0000, 0.0000], [0.0000, 0.5000, 0.0000], [0.0000, 0.0000, 0.5000], [0.5000, 0.0000, 0.0000], [0.5000, 0.5000, 0.5000]]
}

=====

(b)
{
  "formula": "TlGaS2N",
  "functional": "GGA-PBE",
  "state": "optimized geometry",
  "rho_g_cm3": 6.162,
  "spacegroup": "P4/mmm, No. 123",
  "cell": [[5.0385, 0.0000, 0.0000], [0.0000, 5.0385, 0.0000], [0.0000, 0.0000, 3.7390]],
  "species": ["N", "Ga", "S", "S", "Tl"],
  "fractional_positions": [[0.0000, 0.0000, 0.5000], [0.0000, 0.0000, 0.0000], [0.0000, 0.5000, 0.0000], [0.5000, 0.0000, 0.0000], [0.5000, 0.5000, 0.5000]]
}

=====

Stability summary: most stable (b), least stable (a).

=====

(a)
{
  "formula": "GaWSN2",
  "functional": "GGA-PBE",
  "state": "optimized geometry",
  "rho_g_cm3": 6.776,
  "spacegroup": "P4/mmm, No. 123",
  "cell": [[-1.9575, 3.2896, -0.8470], [-2.4031, -0.6502, 3.0287], [3.0621, 2.5909, 2.9857]],
  "species": ["S", "W", "Ga", "N", "N"],
  "fractional_positions": [[0.0000, 0.0000, 0.5000], [0.0000, 0.0000, 0.0000], [0.5000, 0.5000, 0.5000], [0.0000, 0.5000, 0.0000], [0.5000, 0.0000, 0.0000]]
}

=====

(b)
{
  "formula": "GaWSN2",
  "functional": "GGA-PBE",
  "state": "optimized geometry",
  "rho_g_cm3": 7.601,
  "spacegroup": "P4/mmm, No. 123",
  "cell": [[3.7991, 0.0000, 0.0000], [0.0000, 3.7991, 0.0000], [0.0000, 0.0000, 4.7470]],
  "species": ["Ga", "S", "W", "N", "N"],
  "fractional_positions": [[0.0000, 0.0000, 0.0000], [0.0000, 0.0000, 0.5000], [0.5000, 0.5000, 0.5000], [0.5000, 0.0000, 0.0000], [0.0000, 0.5000, 0.0000]]
}

=====

Stability summary: most stable (a), least stable (b).

=====

(a)
{
  "formula": "GaWS2N",
  "functional": "GGA-PBE",
  "state": "optimized geometry",
  "rho_g_cm3": 6.711,
  "spacegroup": "P4/mmm, No. 123",
  "cell": [[4.7930, 0.0000, 0.0000], [0.0000, 4.7930, 0.0000], [0.0000, 0.0000, 3.5729]],
  "species": ["S", "N", "S", "Ga", "W"],
  "fractional_positions": [[0.5000, 0.0000, 0.0000], [0.0000, 0.0000, 0.5000], [0.0000, 0.5000, 0.0000], [0.0000, 0.0000, 0.0000], [0.5000, 0.5000, 0.5000]]
}

=====

(b)
{
  "formula": "GaWS2N",
  "functional": "GGA-PBE",
  "state": "optimized geometry",
  "rho_g_cm3": 6.092,
  "spacegroup": "P4/mmm, No. 123",
  "cell": [[-4.7769, -0.0440, 0.8175], [-0.8170, -0.0528, -4.7769], [0.0415, -3.8490, 0.0355]],
  "species": ["S", "Ga", "S", "W", "N"],
  "fractional_positions": [[0.0000, 0.5000, 0.0000], [0.5000, 0.5000, 0.5000], [0.5000, 0.0000, 0.0000], [0.0000, 0.0000, 0.0000], [0.0000, 0.0000, 0.5000]]
}

=====

Stability summary: most stable (b), least stable (a).

=====

(a)
{
  "formula": "ZnGaSN2",
  "functional": "GGA-PBE",
  "state": "optimized geometry",
  "rho_g_cm3": 3.986,
  "spacegroup": "P4/mmm, No. 123",
  "cell": [[3.8486, 0.0000, 0.0000], [0.0000, 3.8486, 0.0000], [0.0000, 0.0000, 5.4897]],
  "species": ["N", "Ga", "Zn", "S", "N"],
  "fractional_positions": [[0.5000, 0.0000, 0.0000], [0.5000, 0.5000, 0.5000], [0.0000, 0.0000, 0.0000], [0.0000, 0.0000, 0.5000], [0.0000, 0.5000, 0.0000]]
}

=====

(b)
{
  "formula": "ZnGaSN2",
  "functional": "GGA-PBE",
  "state": "optimized geometry",
  "rho_g_cm3": 4.106,
  "spacegroup": "P4/mmm, No. 123",
  "cell": [[3.7581, 0.0000, 0.0000], [0.0000, 3.7581, 0.0000], [0.0000, 0.0000, 5.5895]],
  "species": ["Ga", "N", "S", "Zn", "N"],
  "fractional_positions": [[0.0000, 0.0000, 0.0000], [0.0000, 0.5000, 0.0000], [0.0000, 0.0000, 0.5000], [0.5000, 0.5000, 0.5000], [0.5000, 0.0000, 0.0000]]
}

=====

Stability summary: most stable (b), least stable (a).

=====

(a)
{
  "formula": "GaSbN2",
  "functional": "GGA-PBE",
  "state": "optimized geometry",
  "rho_g_cm3": 6.696,
  "spacegroup": "R-3m, No. 166",
  "cell": [[1.8562, 0.0000, 6.0806], [-0.9281, 1.6075, 6.0806], [-0.9281, -1.6075, 6.0806]],
  "species": ["Sb", "N", "N", "Ga"],
  "fractional_positions": [[0.0000, 0.0000, 0.0000], [0.1116, 0.1116, 0.1116], [0.8884, 0.8884, 0.8884], [0.5000, 0.5000, 0.5000]]
}

=====

(b)
{
  "formula": "GaSbN2",
  "functional": "GGA-PBE",
  "state": "optimized geometry",
  "rho_g_cm3": 6.460,
  "spacegroup": "R-3m, No. 166",
  "cell": [[1.8324, 0.0000, 6.4679], [-0.9162, 1.5869, 6.4679], [-0.9162, -1.5869, 6.4679]],
  "species": ["Ga", "Sb", "N", "N"],
  "fractional_positions": [[0.0000, 0.0000, 0.0000], [0.5000, 0.5000, 0.5000], [0.1094, 0.1094, 0.1094], [0.8906, 0.8906, 0.8906]]
}

=====

Stability summary: most stable (a), least stable (b).

=====

(a)
{
  "formula": "GaSbN2",
  "functional": "GGA-PBE",
  "state": "optimized geometry",
  "rho_g_cm3": 7.375,
  "spacegroup": "Fm-3m, No. 225",
  "cell": [[0.0000, 2.9127, 2.9127], [2.9127, 0.0000, 2.9127], [2.9127, 2.9127, 0.0000]],
  "species": ["Ga", "N", "Sb", "N"],
  "fractional_positions": [[0.0000, 0.0000, 0.0000], [0.2500, 0.2500, 0.2500], [0.5000, 0.5000, 0.5000], [0.7500, 0.7500, 0.7500]]
}

=====

(b)
{
  "formula": "GaSbN2",
  "functional": "GGA-PBE",
  "state": "optimized geometry",
  "rho_g_cm3": 6.027,
  "spacegroup": "I-42d, No. 122",
  "cell": [[-1.2952, -4.4236, -2.0958], [4.5206, -1.9124, 1.2429], [-0.1364, -4.6150, 3.7087]],
  "species": ["N", "Ga", "N", "N", "Sb", "Ga", "Sb", "N"],
  "fractional_positions": [[0.1826, 0.6250, 0.2500], [0.5000, 0.5000, 0.0000], [0.3750, 0.4326, 0.7500], [0.8750, 0.8174, 0.7500], [0.0000, 0.0000, 0.0000], [0.2500, 0.7500, 0.5000], [0.7500, 0.2500, 0.5000], [0.5674, 0.1250, 0.2500]]
}

=====

Stability summary: most stable (b), least stable (a).